Entry 1:
DFT (PBE) results for an optimized crystal structure of PaPIrRu.

Results
DFT formation energy	-0.87	eV per atom
crystal system	tetragonal

```
data_PaPIrRu
_cell_length_a 3.893
_cell_length_b 3.893
_cell_length_c 9.229
_cell_angle_alpha 90.00
_cell_angle_beta 90.00
_cell_angle_gamma 90.00
_symmetry_space_group_name_H-M 'P 1'
_symmetry_Int_Tables_number 1
_symmetry_space_group_name_Hall 'P 1'
loop_
_atom_site_label
_atom_site_fract_x
_atom_site_fract_y
_atom_site_fract_z
P1 0.000 0.500 0.360
Ir1 0.000 0.500 0.100
P2 0.500 0.000 0.640
Ru1 0.000 0.000 0.500
Pa1 0.000 0.500 0.776
Ir2 0.500 0.000 0.900
Ru2 0.500 0.500 0.500
Pa2 0.500 0.000 0.224
```



Entry 2:
DFT (PBE) results for an optimized crystal structure of MnHgW.

Results
DFT formation energy	0.95	eV per atom
crystal system	cubic
relative energy among the computed polymorphs	0.435	eV per atom

```
data_MnHgW
_cell_length_a 4.266
_cell_length_b 4.266
_cell_length_c 4.266
_cell_angle_alpha 60.00
_cell_angle_beta 60.00
_cell_angle_gamma 60.00
_symmetry_space_group_name_H-M 'P 1'
_symmetry_Int_Tables_number 1
_symmetry_space_group_name_Hall 'P 1'
loop_
_atom_site_label
_atom_site_fract_x
_atom_site_fract_y
_atom_site_fract_z
Mn1 0.750 0.750 0.750
W1 0.000 0.000 0.000
Hg1 0.500 0.500 0.500
```



Entry 3:
DFT (PBE) results for an optimized crystal structure of SmErCuSi.

Results
crystal system	orthorhombic
relative energy among the computed polymorphs	0.000	eV per atom
formation energy (no corrections)	-49	kJ per mole of atoms

```
data_SmErCuSi
_cell_length_a 4.067
_cell_length_b 4.078
_cell_length_c 5.807
_cell_angle_alpha 90.00
_cell_angle_beta 110.50
_cell_angle_gamma 90.00
_symmetry_space_group_name_H-M 'P 1'
_symmetry_Int_Tables_number 1
_symmetry_space_group_name_Hall 'P 1'
loop_
_atom_site_label
_atom_site_fract_x
_atom_site_fract_y
_atom_site_fract_z
Cu1 0.563 0.500 0.126
Er1 0.865 0.500 0.729
Sm1 0.144 0.000 0.289
Si1 0.428 0.000 0.856
```



Entry 4:
DFT (PBE) results for an optimized crystal structure of Tb8CdCu2.

Results
DFT formation energy	-0.02	eV per atom
crystal system	monoclinic
relative energy among the computed polymorphs	0.081	eV per atom

```
data_Tb8CdCu2
_cell_length_a 5.440
_cell_length_b 8.067
_cell_length_c 8.067
_cell_angle_alpha 115.20
_cell_angle_beta 98.76
_cell_angle_gamma 98.76
_symmetry_space_group_name_H-M 'P 1'
_symmetry_Int_Tables_number 1
_symmetry_space_group_name_Hall 'P 1'
loop_
_atom_site_label
_atom_site_fract_x
_atom_site_fract_y
_atom_site_fract_z
Tb1 0.694 0.393 0.393
Tb2 0.087 0.332 0.082
Tb3 0.500 0.760 0.240
Tb4 0.306 0.607 0.607
Tb5 0.913 0.668 0.918
Tb6 0.087 0.082 0.332
Cu1 0.000 0.694 0.306
Cu2 0.000 0.306 0.694
Cd1 0.500 0.000 0.000
Tb7 0.913 0.918 0.668
Tb8 0.500 0.240 0.760
```



Entry 5:
DFT (PBE) results for an optimized crystal structure of Mg4Si3.

Results
crystal system	triclinic
relative energy among the computed polymorphs	0.085	eV per atom
formation energy (no corrections)	5	kJ per mole of atoms

```
data_Mg4Si3
_cell_length_a 6.789
_cell_length_b 7.090
_cell_length_c 12.041
_cell_angle_alpha 90.88
_cell_angle_beta 95.04
_cell_angle_gamma 104.61
_symmetry_space_group_name_H-M 'P 1'
_symmetry_Int_Tables_number 1
_symmetry_space_group_name_Hall 'P 1'
loop_
_atom_site_label
_atom_site_fract_x
_atom_site_fract_y
_atom_site_fract_z
Si1 0.957 0.972 0.329
Mg1 0.069 0.082 0.786
Mg2 0.180 0.926 0.154
Si2 0.353 0.069 0.957
Mg3 0.544 0.026 0.355
Si3 0.484 0.408 0.503
Si4 0.453 0.764 0.527
Si5 0.868 0.273 0.273
Mg4 0.052 0.308 0.058
Mg5 0.592 0.344 0.112
Mg6 0.743 0.107 0.602
Mg7 0.408 0.869 0.755
Si6 0.711 0.093 0.928
Mg8 0.703 0.893 0.121
Si7 0.833 0.397 0.461
Si8 0.756 0.786 0.856
Si9 0.460 0.273 0.687
Si10 0.237 0.698 0.983
Mg9 0.663 0.650 0.345
Mg10 0.153 0.474 0.626
Mg11 0.805 0.697 0.637
Si11 0.364 0.619 0.175
Mg12 0.181 0.017 0.536
Mg13 0.139 0.657 0.360
Si12 0.877 0.636 0.016
Mg14 0.866 0.423 0.818
Mg15 0.422 0.468 0.873
Mg16 0.270 0.291 0.303
```



Entry 6:
DFT (PBE) results for an optimized crystal structure of Be2CrRu5W2.

Results
DFT formation energy	-0.11	eV per atom
crystal system	tetragonal

```
data_Be2CrRu5W2
_cell_length_a 2.962
_cell_length_b 9.319
_cell_length_c 9.319
_cell_angle_alpha 90.00
_cell_angle_beta 90.00
_cell_angle_gamma 90.00
_symmetry_space_group_name_H-M 'P 1'
_symmetry_Int_Tables_number 1
_symmetry_space_group_name_Hall 'P 1'
loop_
_atom_site_label
_atom_site_fract_x
_atom_site_fract_y
_atom_site_fract_z
Ru1 0.500 0.000 0.500
Cr1 0.000 0.500 0.500
Ru2 0.500 0.293 0.570
W1 0.000 0.824 0.676
W2 0.000 0.324 0.824
Ru3 0.500 0.793 0.930
Ru4 0.500 0.207 0.070
W3 0.000 0.676 0.176
Ru5 0.500 0.930 0.207
Be1 0.000 0.877 0.377
Ru6 0.500 0.707 0.430
Cr2 0.000 0.000 0.000
Be2 0.000 0.123 0.623
Ru7 0.500 0.570 0.707
Be3 0.000 0.623 0.877
W4 0.000 0.176 0.324
Ru8 0.500 0.500 0.000
Ru9 0.500 0.430 0.293
Ru10 0.500 0.070 0.793
Be4 0.000 0.377 0.123
```



Entry 7:
DFT (PBE) results for an optimized crystal structure of ZrAl2W.

Results
DFT formation energy	-0.05	eV per atom
crystal system	tetragonal
relative energy among the computed polymorphs	0.133	eV per atom

```
data_ZrAl2W
_cell_length_a 3.399
_cell_length_b 3.399
_cell_length_c 5.980
_cell_angle_alpha 90.00
_cell_angle_beta 90.00
_cell_angle_gamma 90.00
_symmetry_space_group_name_H-M 'P 1'
_symmetry_Int_Tables_number 1
_symmetry_space_group_name_Hall 'P 1'
loop_
_atom_site_label
_atom_site_fract_x
_atom_site_fract_y
_atom_site_fract_z
Al1 0.000 0.000 0.032
Zr1 0.500 0.500 0.750
Al2 0.000 0.000 0.468
W1 0.500 0.500 0.250
```



Entry 8:
DFT (PBE) results for an optimized crystal structure of FeAs2AuBr.

Results
crystal system	tetragonal
relative energy among the computed polymorphs	0.000	eV per atom
formation energy (no corrections)	45	kJ per mole of atoms

```
data_FeAs2AuBr
_cell_length_a 4.476
_cell_length_b 4.476
_cell_length_c 5.206
_cell_angle_alpha 90.00
_cell_angle_beta 90.00
_cell_angle_gamma 90.00
_symmetry_space_group_name_H-M 'P 1'
_symmetry_Int_Tables_number 1
_symmetry_space_group_name_Hall 'P 1'
loop_
_atom_site_label
_atom_site_fract_x
_atom_site_fract_y
_atom_site_fract_z
As1 0.000 0.500 0.000
Au1 0.500 0.500 0.500
Br1 0.000 0.000 0.500
Fe1 0.000 0.000 0.000
As2 0.500 0.000 0.000
```



- Which formula does entry 4 have?
  Tb8CdCu2